[1]
# SmErGeRu, relaxed, DFT PBE
# ΔH_f (0 K) (meV/atom): -603
# Energy above the most stable polymorph in this dataset (meV per atom): 0.0
# N(E_F) (states/eV/f.u.): 1.99
data_SmErGeRu
_chemical_formula_sum 'Sm2 Er2 Ge2 Ru2'
_symmetry_space_group_name_H-M 'A m m 2'
_symmetry_Int_Tables_number 38
_symmetry_space_group_name_Hall 'A 2 -2'
_cell_length_a 3.850
_cell_length_b 4.277
_cell_length_c 11.012
_cell_angle_alpha 90.00
_cell_angle_beta 90.00
_cell_angle_gamma 90.00
loop_
_atom_site_label
_atom_site_type_symbol
_atom_site_fract_x
_atom_site_fract_y
_atom_site_fract_z
Sm1 Sm 0.000 0.000 0.000
Er1 Er 0.500 0.000 0.719
Ge1 Ge 0.500 0.000 0.417
Ru1 Ru 0.000 0.000 0.265


[2]
# BaY2MnCl, relaxed, DFT PBE
# Formation energy from raw total energies (eV/atom): -0.0387
# N(E_F) (states/eV/f.u.): 6.14
data_BaY2MnCl
_chemical_formula_sum 'Ba1 Y2 Mn1 Cl1'
_symmetry_space_group_name_H-M 'P 4/m m m'
_symmetry_Int_Tables_number 123
_symmetry_space_group_name_Hall '-P 4 2'
_cell_length_a 5.231
_cell_length_b 5.231
_cell_length_c 5.848
_cell_angle_alpha 90.00
_cell_angle_beta 90.00
_cell_angle_gamma 90.00
loop_
_atom_site_label
_atom_site_type_symbol
_atom_site_fract_x
_atom_site_fract_y
_atom_site_fract_z
Ba1 Ba 0.000 0.000 0.000
Y1 Y 0.000 0.500 0.500
Mn1 Mn 0.500 0.500 0.000
Cl1 Cl 0.000 0.000 0.500


[3]
# Ce4PmS5, relaxed, DFT PBE
# Formation energy from raw total energies (eV/atom): -2.0456
# N(E_F) (states/eV/f.u.): 19.63
data_Ce4PmS5
_chemical_formula_sum 'Ce8 Pm2 S10'
_symmetry_space_group_name_H-M 'I 4/m'
_symmetry_Int_Tables_number 87
_symmetry_space_group_name_Hall '-I 4'
_cell_length_a 8.994
_cell_length_b 8.994
_cell_length_c 5.688
_cell_angle_alpha 90.00
_cell_angle_beta 90.00
_cell_angle_gamma 90.00
loop_
_atom_site_label
_atom_site_type_symbol
_atom_site_fract_x
_atom_site_fract_y
_atom_site_fract_z
Ce1 Ce 0.101 0.700 0.000
Pm1 Pm 0.000 0.000 0.500
S1 S 0.000 0.000 0.000
S2 S 0.100 0.700 0.500


[4]
# AcNdScAg, relaxed, DFT PBE
# ΔH_f (0 K) (meV/atom): 194
# N(E_F) (states/eV/f.u.): 6.05
data_AcNdScAg
_chemical_formula_sum 'Ac4 Nd4 Sc4 Ag4'
_symmetry_space_group_name_H-M 'F -4 3 m'
_symmetry_Int_Tables_number 216
_symmetry_space_group_name_Hall 'F -4 2 3'
_cell_length_a 7.737
_cell_length_b 7.737
_cell_length_c 7.737
_cell_angle_alpha 90.00
_cell_angle_beta 90.00
_cell_angle_gamma 90.00
loop_
_atom_site_label
_atom_site_type_symbol
_atom_site_fract_x
_atom_site_fract_y
_atom_site_fract_z
Ac1 Ac 0.000 0.000 0.000
Nd1 Nd 0.250 0.250 0.250
Sc1 Sc 0.250 0.250 0.750
Ag1 Ag 0.000 0.000 0.500


[5]
# Tb2TlPb9, relaxed, DFT PBE
# ΔH_f (0 K) (meV/atom): -190
# N(E_F) (states/eV/f.u.): 5.34
data_Tb2TlPb9
_chemical_formula_sum 'Tb2 Tl1 Pb9'
_symmetry_space_group_name_H-M 'P 4/m m m'
_symmetry_Int_Tables_number 123
_symmetry_space_group_name_Hall '-P 4 2'
_cell_length_a 4.822
_cell_length_b 4.822
_cell_length_c 15.460
_cell_angle_alpha 90.00
_cell_angle_beta 90.00
_cell_angle_gamma 90.00
loop_
_atom_site_label
_atom_site_type_symbol
_atom_site_fract_x
_atom_site_fract_y
_atom_site_fract_z
Tb1 Tb 0.000 0.000 0.151
Tl1 Tl 0.000 0.000 0.500
Pb1 Pb 0.000 0.500 0.000
Pb2 Pb 0.000 0.500 0.328
Pb3 Pb 0.500 0.500 0.168
Pb4 Pb 0.500 0.500 0.500


[6]
# PrTmCI, relaxed, DFT PBE
# Formation energy from raw total energies (eV/atom): -0.7034
# N(E_F) (states/eV/f.u.): 2.28
data_PrTmCI
_chemical_formula_sum 'Pr3 Tm3 C3 I3'
_symmetry_space_group_name_H-M 'R 3 m'
_symmetry_Int_Tables_number 160
_symmetry_space_group_name_Hall 'R 3 -2"'
_cell_length_a 3.8020
_cell_length_b 3.8020
_cell_length_c 22.8098
_cell_angle_alpha 90.00
_cell_angle_beta 90.00
_cell_angle_gamma 120.00
loop_
_atom_site_label
_atom_site_type_symbol
_atom_site_fract_x
_atom_site_fract_y
_atom_site_fract_z
Pr1 Pr 0.0000 0.0000 0.0000
Tm1 Tm 0.0000 0.0000 0.2188
C1 C 0.0000 0.0000 0.6008
I1 I 0.0000 0.0000 0.7820


[7]
# SrLi4Fe, relaxed, DFT PBE
# ΔH_f (0 K) (meV/atom): 358
# N(E_F) (states/eV/f.u.): 6.03
data_SrLi4Fe
_chemical_formula_sum 'Sr4 Li16 Fe4'
_symmetry_space_group_name_H-M 'F -4 3 m'
_symmetry_Int_Tables_number 216
_symmetry_space_group_name_Hall 'F -4 2 3'
_cell_length_a 8.047
_cell_length_b 8.047
_cell_length_c 8.047
_cell_angle_alpha 90.00
_cell_angle_beta 90.00
_cell_angle_gamma 90.00
loop_
_atom_site_label
_atom_site_type_symbol
_atom_site_fract_x
_atom_site_fract_y
_atom_site_fract_z
Sr1 Sr 0.000 0.000 0.000
Li1 Li 0.122 0.122 0.378
Fe1 Fe 0.250 0.250 0.750


[8]
# Pm6Ir2F, relaxed, DFT PBE
# Formation energy from raw total energies (eV/atom): -0.9726
# N(E_F) (states/eV/f.u.): 7.30
data_Pm6Ir2F
_chemical_formula_sum 'Pm12 Ir4 F2'
_symmetry_space_group_name_H-M 'P 1 21/c 1'
_symmetry_Int_Tables_number 14
_symmetry_space_group_name_Hall '-P 2ybc'
_cell_length_a 6.511
_cell_length_b 7.329
_cell_length_c 11.648
_cell_angle_alpha 90.00
_cell_angle_beta 121.32
_cell_angle_gamma 90.00
loop_
_atom_site_label
_atom_site_type_symbol
_atom_site_fract_x
_atom_site_fract_y
_atom_site_fract_z
Pm1 Pm 0.105 0.179 0.434
Pm2 Pm 0.261 0.667 0.429
Pm3 Pm 0.392 0.037 0.248
Ir1 Ir 0.176 0.119 0.735
F1 F 0.500 0.000 0.500


[9]
# MnZnAgAu, relaxed, DFT PBE
# ΔH_f (0 K) (meV/atom): -23
# N(E_F) (states/eV/f.u.): 2.37
data_MnZnAgAu
_chemical_formula_sum 'Mn4 Zn4 Ag4 Au4'
_symmetry_space_group_name_H-M 'F -4 3 m'
_symmetry_Int_Tables_number 216
_symmetry_space_group_name_Hall 'F -4 2 3'
_cell_length_a 6.389
_cell_length_b 6.389
_cell_length_c 6.389
_cell_angle_alpha 90.00
_cell_angle_beta 90.00
_cell_angle_gamma 90.00
loop_
_atom_site_label
_atom_site_type_symbol
_atom_site_fract_x
_atom_site_fract_y
_atom_site_fract_z
Mn1 Mn 0.000 0.000 0.000
Zn1 Zn 0.000 0.000 0.500
Ag1 Ag 0.250 0.250 0.750
Au1 Au 0.250 0.250 0.250


[10]
# TbDy7Cd4, relaxed, DFT PBE
# ΔH_f (0 K) (meV/atom): 9
# N(E_F) (states/eV/f.u.): 13.90
data_TbDy7Cd4
_chemical_formula_sum 'Tb2 Dy14 Cd8'
_symmetry_space_group_name_H-M 'C 1 2/m 1'
_symmetry_Int_Tables_number 12
_symmetry_space_group_name_Hall '-C 2y'
_cell_length_a 14.689
_cell_length_b 5.698
_cell_length_c 9.728
_cell_angle_alpha 90.00
_cell_angle_beta 121.96
_cell_angle_gamma 90.00
loop_
_atom_site_label
_atom_site_type_symbol
_atom_site_fract_x
_atom_site_fract_y
_atom_site_fract_z
Tb1 Tb 0.000 0.000 0.000
Dy1 Dy 0.000 0.500 0.000
Dy2 Dy 0.071 0.000 0.413
Dy3 Dy 0.206 0.000 0.881
Dy4 Dy 0.238 0.500 0.694
Cd1 Cd 0.042 0.500 0.712
Cd2 Cd 0.181 0.500 0.342


| no. | E (eV/atom) | total moment (μB per formula unit) |
| --- | --- | --- |
| 1 | -6.397 | 0.00 |
| 2 | -5.212 | 3.34 |
| 3 | -6.958 | 2.41 |
| 4 | -4.320 | 1.65 |
| 5 | -3.940 | 0.00 |
| 6 | -5.710 | 0.00 |
| 7 | -2.609 | 2.50 |
| 8 | -6.317 | 0.00 |
| 9 | -4.166 | 4.14 |
| 10 | -3.367 | 0.00 |